## A
A plane-wave DFT calculation with GGA-PBE was carried out for an optimized crystal structure of InHg6Pb12. Values from VASP.

Output
Fermi-level density of states   10.82 states/eV per cell

Structure (Quantum ESPRESSO input):
```
&SYSTEM
  ibrav = 0, nat = 19, ntyp = 3
/
ATOMIC_SPECIES
Hg 200.59 Hg.upf
Pb 207.20 Pb.upf
In 114.82 In.upf
ATOMIC_POSITIONS angstrom
Hg 4.7430 6.8968 3.8507
Hg 6.0981 2.7641 6.3296
Hg 0.2617 4.6455 2.5470
Hg 1.6168 0.5128 5.0258
Hg 4.5521 2.3339 1.4026
Hg 1.8077 5.0757 7.4739
Pb -1.0468 7.4786 3.0186
Pb 4.5864 8.1967 0.9790
Pb 0.2704 3.2476 5.3320
Pb 7.4067 -0.0689 5.8580
Pb 1.7734 -0.7871 7.8976
Pb 3.1691 5.1105 1.7002
Pb -1.1910 4.4573 8.2397
Pb 1.7889 6.4350 4.7284
Pb 6.0894 4.1620 3.5445
Pb 3.1908 2.2992 7.1764
Pb 7.5508 2.9523 0.6368
Pb 4.5710 0.9746 4.1481
In 0.0000 0.0000 0.0000
CELL_PARAMETERS angstrom
8.7859 0.1203 0.1441
-1.2130 8.7026 0.1441
-1.2130 -1.4133 8.5883
```


## B
A plane-wave DFT calculation with GGA-PBE was carried out for an optimized crystal structure of InHg6Pb12. Values from VASP.

Output
Fermi-level density of states   8.36 states/eV per cell

Structure (Quantum ESPRESSO input):
```
&SYSTEM
  ibrav = 0, nat = 19, ntyp = 3
/
ATOMIC_SPECIES
Hg 200.59 Hg.upf
Pb 207.20 Pb.upf
In 114.82 In.upf
ATOMIC_POSITIONS angstrom
Hg -6.8548 3.7691 -4.3938
Hg -7.4557 0.6663 -4.9465
Hg -1.6145 0.8279 -2.8925
Hg -8.4523 2.0324 -2.2198
Hg -2.6110 2.1941 -0.1659
Hg -3.2119 -0.9087 -0.7186
Pb -1.5060 -0.3919 -6.0945
Pb -6.7079 -1.0863 -1.8973
Pb -4.3436 5.2243 -6.2183
Pb -5.7127 4.0171 -1.0015
Pb -3.3589 3.9467 -3.2151
Pb -4.0798 1.7576 -5.4810
Pb -7.2340 -2.7544 -4.9911
Pb -2.8328 5.6148 -0.1213
Pb -5.7231 -2.3639 1.1059
Pb -8.5607 3.2522 0.9822
Pb -5.9869 1.1027 0.3686
Pb -4.3540 -1.1568 -4.1109
In 0.0000 0.0000 0.0000
CELL_PARAMETERS angstrom
0.1860 1.4377 -8.4069
-6.3678 -5.6520 0.5316
-3.8849 7.0747 2.7629
```


Most favorable structure: B. The second most favorable one is 6.1 kJ/mol of atoms above it.


## A
A plane-wave DFT calculation with GGA-PBE was carried out for an optimized crystal structure of In12Hg6Pb. Values from VASP.

Output
Fermi-level density of states   6.52 states/eV per cell

Structure (Quantum ESPRESSO input):
```
&SYSTEM
  ibrav = 0, nat = 19, ntyp = 3
/
ATOMIC_SPECIES
In 114.82 In.upf
Hg 200.59 Hg.upf
Pb 207.20 Pb.upf
ATOMIC_POSITIONS angstrom
In 0.4998 1.1580 -5.9319
In -4.9750 -1.4220 -6.3091
In -2.3721 -7.7880 -0.5452
In -3.9147 -3.1914 -3.3750
In 3.6028 -4.0493 -6.0992
In 3.1027 -5.2080 -0.1680
In 2.0424 -3.4386 -3.1021
In -2.4044 -4.3694 -0.8640
In -2.0921 -0.8823 -4.5236
In -5.4750 -2.5807 -0.3779
In 0.2199 -5.7477 -1.9535
In 0.5321 -2.2607 -5.6131
Hg -2.3253 -3.5299 -6.0881
Hg 0.6782 -0.5864 -3.0271
Hg 0.4531 -3.1001 -0.3890
Hg -2.5274 -1.2574 -1.4137
Hg -2.5504 -6.0436 -3.4500
Hg 0.6551 -5.3726 -5.0634
Pb 0.0000 0.0000 0.0000
CELL_PARAMETERS angstrom
-8.4804 -0.7233 -1.4099
3.7311 1.8355 -7.5590
2.8770 -7.7422 2.4918
```


## B
A plane-wave DFT calculation with GGA-PBE was carried out for an optimized crystal structure of In12Hg6Pb. Values from VASP.

Output
Fermi-level density of states   7.20 states/eV per cell

Structure (Quantum ESPRESSO input):
```
&SYSTEM
  ibrav = 0, nat = 19, ntyp = 3
/
ATOMIC_SPECIES
In 114.82 In.upf
Hg 200.59 Hg.upf
Pb 207.20 Pb.upf
ATOMIC_POSITIONS angstrom
In 1.9572 -0.2326 2.5891
In -2.2731 5.8290 3.5712
In -2.2731 1.4505 6.6803
In 1.9687 -1.8426 6.6803
In 1.9802 5.3044 4.5533
In 6.2106 3.6213 0.4621
In 1.9802 2.5507 6.5087
In 1.9572 2.5211 0.6337
In 4.6480 3.2333 4.5533
In 6.2106 -0.7572 3.5712
In -0.7105 1.8385 2.5891
In 1.9687 6.9144 0.4621
Hg 0.2663 0.3431 5.2992
Hg 4.6714 1.4702 2.0704
Hg 0.2663 4.8900 2.0704
Hg -0.7340 3.6016 5.0720
Hg 3.6711 4.7287 1.8432
Hg 3.6711 0.1817 5.0720
Pb 0.0000 0.0000 0.0000
CELL_PARAMETERS angstrom
8.6546 -0.2201 -0.3099
-2.3586 8.3299 -0.3099
-2.3586 -3.0380 7.7623
```


Most favorable structure: A. The second most favorable one is 3.2 kJ/mol of atoms above it.


## A
A plane-wave DFT calculation with GGA-PBE was carried out for an optimized crystal structure of In3Hg4Pb4. Values from VASP.

Output
Fermi-level density of states   3.70 states/eV per cell

Structure (Quantum ESPRESSO input):
```
&SYSTEM
  ibrav = 0, nat = 11, ntyp = 3
/
ATOMIC_SPECIES
Pb 207.20 Pb.upf
Hg 200.59 Hg.upf
In 114.82 In.upf
ATOMIC_POSITIONS angstrom
Pb 1.1847 9.6857 12.7625
Pb 2.7027 10.4750 9.7187
Pb 2.0259 4.5981 2.0712
Pb 0.5078 3.8089 5.1150
Hg 2.9479 12.4631 12.3412
Hg 0.2627 1.8207 2.4924
Hg 0.7088 5.8614 7.6529
Hg 2.5018 8.4225 7.1808
In 2.2923 6.6983 4.6578
In 3.6133 0.0289 -0.2835
In 0.9183 7.5855 10.1758
CELL_PARAMETERS angstrom
3.6133 0.0288 -0.2835
0.1539 7.2967 1.6113
-0.5566 6.9581 13.5058
```


## B
A plane-wave DFT calculation with GGA-PBE was carried out for an optimized crystal structure of In3Hg4Pb4. Values from VASP.

Output
Fermi-level density of states   5.69 states/eV per cell

Structure (Quantum ESPRESSO input):
```
&SYSTEM
  ibrav = 0, nat = 11, ntyp = 3
/
ATOMIC_SPECIES
Hg 200.59 Hg.upf
In 114.82 In.upf
Pb 207.20 Pb.upf
ATOMIC_POSITIONS angstrom
Hg -1.3751 -3.3860 7.7467
Hg -2.9785 -2.0441 3.7129
Hg -5.3340 -2.5679 1.2660
Hg -3.7184 -4.2740 5.8240
In -1.4415 -6.3287 6.8796
In -3.0985 -4.9419 2.7110
In -2.5051 -2.5332 0.1530
Pb -0.5285 -1.0482 5.6291
Pb -0.1062 -1.7692 2.3235
Pb 1.7097 -3.2890 6.8919
Pb -2.0142 0.7893 1.0632
CELL_PARAMETERS angstrom
-2.7640 2.8571 2.0492
-3.5412 -6.4071 -0.7239
3.6143 -3.0249 9.0926
```


Most favorable structure: A. The second most favorable one is 2.9 kJ/mol of atoms above it.


## A
A plane-wave DFT calculation with GGA-PBE was carried out for an optimized crystal structure of In2Hg3Pb3. Values from VASP.

Output
Fermi-level density of states   4.54 states/eV per cell

Structure (Quantum ESPRESSO input):
```
&SYSTEM
  ibrav = 0, nat = 16, ntyp = 3
/
ATOMIC_SPECIES
Hg 200.59 Hg.upf
Pb 207.20 Pb.upf
In 114.82 In.upf
ATOMIC_POSITIONS angstrom
Hg -2.2113 1.9124 7.7868
Hg -3.2078 1.2289 13.8504
Hg -2.3561 1.5458 1.3511
Hg -2.6605 -2.0195 10.7932
Hg -1.6640 -1.3360 4.7296
Hg -2.5157 -1.6529 17.2289
Pb -0.2104 0.3777 15.5628
Pb -2.5662 -1.8153 14.0094
Pb -0.2880 0.1812 12.1130
Pb -2.3056 1.7082 4.5706
Pb -4.6615 -0.4848 3.0172
Pb -4.5838 -0.2883 6.4670
In -1.5530 -1.1140 8.0254
In -1.7014 -1.4898 1.4284
In -3.3188 1.0069 10.5547
In -3.1704 1.3827 17.1517
CELL_PARAMETERS angstrom
-3.6118 3.9827 -0.1456
-1.6738 -5.1378 0.3303
0.4139 1.0479 18.3953
```


## B
A plane-wave DFT calculation with GGA-PBE was carried out for an optimized crystal structure of In2Hg3Pb3. Values from VASP.

Output
Fermi-level density of states   8.23 states/eV per cell

Structure (Quantum ESPRESSO input):
```
&SYSTEM
  ibrav = 0, nat = 16, ntyp = 3
/
ATOMIC_SPECIES
Pb 207.20 Pb.upf
Hg 200.59 Hg.upf
In 114.82 In.upf
ATOMIC_POSITIONS angstrom
Pb 1.5602 0.9954 1.7241
Pb 4.6806 1.9908 0.0000
Pb 1.5602 7.1595 0.0000
Pb 4.6806 -0.9954 1.7241
Pb 1.5602 -3.5798 6.2003
Pb 4.6806 3.5798 6.2003
Hg 1.5602 3.7865 0.0000
Hg 4.6806 -2.6819 4.6453
Hg 1.5602 -1.8932 3.2792
Hg 4.6806 1.8932 3.2792
Hg 1.5602 2.6819 4.6453
Hg 4.6806 5.3639 0.0000
In 3.1204 4.5752 2.6415
In 0.0000 0.0000 5.2830
In 3.1204 0.0000 5.2830
In 0.0000 4.5752 2.6415
CELL_PARAMETERS angstrom
6.2408 0.0000 0.0000
0.0000 9.1504 0.0000
0.0000 -4.5752 7.9244
```


Most favorable structure: A. The second most favorable one is 0.5 kJ/mol of atoms above it.